1.
Crystalline ZrReP2 at its relaxed geometry, computed with PBE.

**Energy of formation**: -0.50 eV per atom
**M_tot**: 0.00 μB per formula unit

Cell lengths 4.5666, 4.7511, 4.7511 Å; angles 41.32, 90.00, 90.00 degrees
Positions (direct):
Zr (0.0000, 0.0000, 0.0000)
Re (0.5000, 0.2496, 0.2496)
P (0.0000, 0.2872, 0.2872)
P (0.5000, 0.5528, 0.5528)


2.
Crystalline MgH at its relaxed geometry, computed with PBE.

**M_tot**: 0.00 μB per formula unit

Cell lengths 6.1349, 6.1349, 6.1349 Å; angles 94.40, 94.40, 147.84 degrees
Positions (direct):
Mg (0.0957, 0.6887, 0.7845)
Mg (0.3113, 0.0957, 0.4070)
Mg (0.6887, 0.9043, 0.5930)
Mg (0.9043, 0.3113, 0.2155)
H (0.1293, 0.2304, 0.3597)
H (0.2304, 0.8707, 0.1011)
H (0.7696, 0.1293, 0.8989)
H (0.8707, 0.7696, 0.6403)


3.
Crystalline SiBiIrAu at its relaxed geometry, computed with PBE.

**Uncorrected formation energy**: -0.0983 eV per atom
**M_tot**: 0.00 μB per formula unit

Cell lengths 4.0403, 4.0438, 6.5253 Å; angles 72.12, 71.99, 60.13 degrees
Positions (direct):
Si (0.0000, 0.0000, 0.0000)
Bi (0.8062, 0.8098, 0.5744)
Ir (0.6580, 0.6582, 0.0249)
Au (0.2316, 0.2337, 0.3009)


4.
Crystalline AcPr2Cd4 at its relaxed geometry, computed with PBE.

**Energy of formation**: -0.14 eV per atom
**M_tot**: 0.42 μB per formula unit

Cell lengths 8.7240, 8.7240, 8.7240 Å; angles 143.51, 143.51, 52.56 degrees
Positions (direct):
Ac (0.0000, 0.0000, 0.0000)
Pr (0.2557, 0.2557, 0.0000)
Pr (0.7443, 0.7443, 0.0000)
Cd (0.1265, 0.6265, 0.5000)
Cd (0.3735, 0.8735, 0.5000)
Cd (0.6265, 0.1265, 0.5000)
Cd (0.8735, 0.3735, 0.5000)


5.
Crystalline KTlMo2 at its relaxed geometry, computed with PBE.

**Energy of formation**: 1.27 eV per atom
**M_tot**: 0.00 μB per formula unit

Cell lengths 2.8378, 2.8378, 10.7101 Å; angles 90.00, 90.00, 90.00 degrees
Positions (direct):
K (0.0000, 0.0000, 0.0000)
Tl (0.0000, 0.0000, 0.5000)
Mo (0.5000, 0.5000, 0.2859)
Mo (0.5000, 0.5000, 0.7141)


6.
Crystalline AcPm9Al2 at its relaxed geometry, computed with PBE.

**Energy of formation**: -0.08 eV per atom
**M_tot**: 0.00 μB per formula unit

Cell lengths 4.9607, 4.9607, 15.2829 Å; angles 90.00, 90.00, 90.00 degrees
Positions (direct):
Ac (0.0000, 0.0000, 0.0000)
Pm (0.0000, 0.5000, 0.1844)
Pm (0.0000, 0.5000, 0.5000)
Pm (0.0000, 0.5000, 0.8156)
Pm (0.5000, 0.0000, 0.1844)
Pm (0.5000, 0.0000, 0.5000)
Pm (0.5000, 0.0000, 0.8156)
Pm (0.5000, 0.5000, 0.0000)
Pm (0.5000, 0.5000, 0.3452)
Pm (0.5000, 0.5000, 0.6548)
Al (0.0000, 0.0000, 0.3410)
Al (0.0000, 0.0000, 0.6590)


7.
Crystalline IrPd2RhPb at its relaxed geometry, computed with PBE.

**Energy of formation**: 1.68 eV per atom
**M_tot**: 2.09 μB per formula unit

Cell lengths 4.9564, 4.9564, 5.0090 Å; angles 90.00, 90.00, 90.00 degrees
Positions (direct):
Ir (0.0000, 0.0000, 0.0000)
Pd (0.0000, 0.5000, 0.5000)
Pd (0.5000, 0.0000, 0.5000)
Rh (0.5000, 0.5000, 0.0000)
Pb (0.0000, 0.0000, 0.5000)


8.
Crystalline Li2Zr2CuTe6 at its relaxed geometry, computed with PBE.

**Uncorrected formation energy**: -0.6685 eV per atom
**M_tot**: 0.00 μB per formula unit

Cell lengths 7.1108, 7.1108, 7.4170 Å; angles 98.70, 98.70, 121.87 degrees
Positions (direct):
Li (0.1701, 0.8299, 0.0000)
Li (0.8299, 0.1701, 0.0000)
Zr (0.3332, 0.6668, 0.5000)
Zr (0.6668, 0.3332, 0.5000)
Cu (0.0000, 0.0000, 0.5000)
Te (0.0814, 0.4138, 0.7444)
Te (0.2321, 0.2321, 0.2695)
Te (0.4138, 0.0814, 0.7444)
Te (0.5862, 0.9186, 0.2556)
Te (0.7679, 0.7679, 0.7305)
Te (0.9186, 0.5862, 0.2556)


9.
Crystalline Sc5HgPb4 at its relaxed geometry, computed with PBE.

**Energy of formation**: -0.21 eV per atom
**M_tot**: 0.00 μB per formula unit

Cell lengths 7.2398, 7.2398, 7.2398 Å; angles 99.98, 99.98, 130.80 degrees
Positions (direct):
Sc (0.0000, 0.0000, 0.0000)
Sc (0.0099, 0.4129, 0.7831)
Sc (0.2268, 0.0099, 0.5970)
Sc (0.4129, 0.6297, 0.4030)
Sc (0.6297, 0.2268, 0.2169)
Hg (0.4877, 0.4877, 0.0000)
Pb (0.1025, 0.7164, 0.1821)
Pb (0.5343, 0.9204, 0.8179)
Pb (0.7164, 0.5343, 0.6139)
Pb (0.9204, 0.1025, 0.3861)


10.
Crystalline TlZnFe2 at its relaxed geometry, computed with PBE.

**Energy of formation**: 0.42 eV per atom
**M_tot**: 4.99 μB per formula unit

Cell lengths 4.8904, 4.8904, 4.8904 Å; angles 133.13, 133.13, 68.46 degrees
Positions (direct):
Tl (0.0000, 0.0000, 0.0000)
Zn (0.2500, 0.7500, 0.5000)
Fe (0.5000, 0.5000, 0.0000)
Fe (0.7500, 0.2500, 0.5000)


11.
Crystalline Ta2CrS at its relaxed geometry, computed with PBE.

**Uncorrected formation energy**: 0.4041 eV per atom
**M_tot**: 1.42 μB per formula unit

Cell lengths 8.9524, 8.9524, 8.9524 Å; angles 18.98, 18.98, 18.98 degrees
Positions (direct):
Ta (0.0938, 0.0938, 0.0938)
Ta (0.9062, 0.9062, 0.9062)
Cr (0.0000, 0.0000, 0.0000)
S (0.5000, 0.5000, 0.5000)


12.
Crystalline La4PuTh3S8 at its relaxed geometry, computed with PBE.

**Uncorrected formation energy**: -1.9953 eV per atom
**M_tot**: 5.63 μB per formula unit

Cell lengths 8.1930, 8.1930, 8.1930 Å; angles 59.69, 59.69, 59.69 degrees
Positions (direct):
La (0.0000, 0.0000, 0.0000)
La (0.0000, 0.5000, 0.5000)
La (0.5000, 0.0000, 0.5000)
La (0.5000, 0.5000, 0.0000)
Pu (0.5000, 0.5000, 0.5000)
Th (0.0000, 0.0000, 0.5000)
Th (0.0000, 0.5000, 0.0000)
Th (0.5000, 0.0000, 0.0000)
S (0.2479, 0.2479, 0.2479)
S (0.2502, 0.7452, 0.7452)
S (0.2548, 0.2548, 0.7498)
S (0.2548, 0.7498, 0.2548)
S (0.7452, 0.2502, 0.7452)
S (0.7452, 0.7452, 0.2502)
S (0.7498, 0.2548, 0.2548)
S (0.7521, 0.7521, 0.7521)


13.
Crystalline PrLuInRh at its relaxed geometry, computed with PBE.

**Energy of formation**: -0.49 eV per atom
**M_tot**: 0.00 μB per formula unit

Cell lengths 5.1551, 5.1551, 5.1551 Å; angles 60.00, 60.00, 60.00 degrees
Positions (direct):
Pr (0.0000, 0.0000, 0.0000)
Lu (0.5000, 0.5000, 0.5000)
In (0.2500, 0.2500, 0.2500)
Rh (0.7500, 0.7500, 0.7500)


14.
Crystalline ZrScGa2As at its relaxed geometry, computed with PBE.

**Energy of formation**: 0.75 eV per atom
**M_tot**: 0.00 μB per formula unit

Cell lengths 5.1642, 5.1642, 5.1482 Å; angles 90.00, 90.00, 90.00 degrees
Positions (direct):
Zr (0.0000, 0.0000, 0.0000)
Sc (0.0000, 0.0000, 0.5000)
Ga (0.0000, 0.5000, 0.0000)
Ga (0.5000, 0.0000, 0.0000)
As (0.5000, 0.5000, 0.5000)


15.
Crystalline YFeTc2 at its relaxed geometry, computed with PBE.

**Energy of formation**: 0.47 eV per atom
**M_tot**: 2.58 μB per formula unit

Cell lengths 5.3656, 5.3656, 5.3656 Å; angles 138.32, 138.32, 60.41 degrees
Positions (direct):
Y (0.0000, 0.0000, 0.0000)
Fe (0.5000, 0.5000, 0.0000)
Tc (0.2500, 0.7500, 0.5000)
Tc (0.7500, 0.2500, 0.5000)


16.
Crystalline Re2Rh at its relaxed geometry, computed with PBE.

**Energy of formation**: -0.04 eV per atom
**M_tot**: 0.00 μB per formula unit

Cell lengths 3.9093, 3.9093, 11.8320 Å; angles 99.46, 99.46, 90.00 degrees
Positions (direct):
Re (0.0426, 0.7918, 0.5834)
Re (0.1261, 0.3762, 0.7525)
Re (0.2082, 0.9574, 0.9166)
Re (0.3762, 0.1261, 0.2525)
Re (0.6238, 0.8739, 0.7475)
Re (0.7918, 0.0426, 0.0834)
Re (0.8739, 0.6238, 0.2475)
Re (0.9574, 0.2082, 0.4166)
Rh (0.2924, 0.5427, 0.0843)
Rh (0.4573, 0.7076, 0.4157)
Rh (0.5427, 0.2924, 0.5843)
Rh (0.7076, 0.4573, 0.9157)


17.
Crystalline PdRhWS2 at its relaxed geometry, computed with PBE.

**Uncorrected formation energy**: 0.6701 eV per atom
**M_tot**: 0.00 μB per formula unit

Cell lengths 4.5622, 4.5622, 4.8873 Å; angles 90.00, 90.00, 90.00 degrees
Positions (direct):
Pd (0.0000, 0.0000, 0.0000)
Rh (0.5000, 0.5000, 0.0000)
W (0.5000, 0.5000, 0.5000)
S (0.0000, 0.5000, 0.5000)
S (0.5000, 0.0000, 0.5000)


18.
Crystalline PmAl12Co4 at its relaxed geometry, computed with PBE.

**Energy of formation**: -0.15 eV per atom
**M_tot**: 1.35 μB per formula unit

Cell lengths 7.7593, 7.7593, 7.7593 Å; angles 109.47, 109.47, 109.47 degrees
Positions (direct):
Pm (0.0000, 0.0000, 0.0000)
Al (0.0011, 0.7411, 0.2600)
Al (0.2589, 0.2600, 0.5189)
Al (0.2589, 0.7400, 0.9989)
Al (0.2600, 0.0011, 0.7411)
Al (0.2600, 0.5189, 0.2589)
Al (0.4811, 0.7411, 0.7400)
Al (0.5189, 0.2589, 0.2600)
Al (0.7400, 0.4811, 0.7411)
Al (0.7400, 0.9989, 0.2589)
Al (0.7411, 0.2600, 0.0011)
Al (0.7411, 0.7400, 0.4811)
Al (0.9989, 0.2589, 0.7400)
Co (0.0000, 0.0000, 0.5000)
Co (0.0000, 0.5000, 0.0000)
Co (0.5000, 0.0000, 0.0000)
Co (0.5000, 0.5000, 0.5000)


19.
Crystalline Cs4DyCl6 at its relaxed geometry, computed with PBE.

**Uncorrected formation energy**: -1.9284 eV per atom
**M_tot**: 0.00 μB per formula unit

Cell lengths 10.2078, 10.2078, 10.4217 Å; angles 90.00, 90.00, 90.00 degrees
Positions (direct):
Cs (0.2000, 0.3000, 0.2500)
Cs (0.2000, 0.3000, 0.7500)
Cs (0.3000, 0.8000, 0.2500)
Cs (0.3000, 0.8000, 0.7500)
Cs (0.7000, 0.2000, 0.2500)
Cs (0.7000, 0.2000, 0.7500)
Cs (0.8000, 0.7000, 0.2500)
Cs (0.8000, 0.7000, 0.7500)
Dy (0.0000, 0.0000, 0.0000)
Dy (0.5000, 0.5000, 0.5000)
Cl (0.0000, 0.0000, 0.2552)
Cl (0.0000, 0.0000, 0.7448)
Cl (0.0533, 0.7446, 0.0000)
Cl (0.2446, 0.5533, 0.5000)
Cl (0.2554, 0.0533, 0.0000)
Cl (0.4467, 0.2446, 0.5000)
Cl (0.5000, 0.5000, 0.2448)
Cl (0.5000, 0.5000, 0.7552)
Cl (0.5533, 0.7554, 0.5000)
Cl (0.7446, 0.9467, 0.0000)
Cl (0.7554, 0.4467, 0.5000)
Cl (0.9467, 0.2554, 0.0000)


20.
Crystalline BaTl4Ge2 at its relaxed geometry, computed with PBE.

**Energy of formation**: -0.14 eV per atom
**M_tot**: 0.00 μB per formula unit

Cell lengths 9.5010, 9.5010, 4.8375 Å; angles 90.00, 90.00, 150.50 degrees
Positions (direct):
Ba (0.0000, 0.0000, 0.0000)
Tl (0.1750, 0.8250, 0.5000)
Tl (0.3233, 0.6767, 0.0000)
Tl (0.6767, 0.3233, 0.0000)
Tl (0.8250, 0.1750, 0.5000)
Ge (0.4335, 0.5665, 0.5000)
Ge (0.5665, 0.4335, 0.5000)


DOS(E_F) (computed, states/eV/f.u.): 1.75; 0.66; 1.90; 5.50; 2.37; 14.34; 4.40; 5.17; 7.97; 2.63; 2.87; 13.69; 3.13; 4.19; 5.26; 2.76; 4.99; 8.00; 3.08; 3.60
Volume (computed, Å³/cell): 68; 118; 86; 233; 86; 376; 123; 303; 261; 61; 66; 386; 97; 137; 68; 176; 102; 360; 1086; 215
E_tot (computed, eV for the cell shown): -33.81; -18.58; -21.84; -18.28; -20.05; -55.30; -21.93; -51.22; -48.90; -18.90; -35.84; -121.25; -21.33; -21.82; -33.78; -129.50; -30.40; -80.61; -80.62; -21.60